Density functional theory data (PBE) for a geometry-optimized Pr5Nd6Sc structure.

Cell: 6.3423 6.3404 12.1626 Å, 84.98 79.93 59.99°
Sites, in units of the cell vectors:
Pr: 0.3330 0.3339 0.0000
Nd: 0.5900 0.3287 0.2462
Nd: 0.9187 0.6713 0.2462
Nd: 0.2475 0.0000 0.2465
Sc: 0.0000 0.0000 0.0000
Pr: 0.8335 0.3329 0.5000
Pr: 0.1665 0.6671 0.5000
Nd: 0.0813 0.3287 0.7538
Pr: 0.6670 0.6661 0.0000
Pr: 0.5000 0.0000 0.5000
Nd: 0.4100 0.6713 0.7538
Nd: 0.7525 0.0000 0.7535

As for the density of states at the Fermi level: 1.568 states/eV/atom. As for the formation energy: 0.03 eV per atom.

Density functional theory data (PBE) for a geometry-optimized Sc2Pd9Au structure.

Cell: 3.9896 3.9896 12.1348 Å, 90.00 90.00 90.00°
Sites, in units of the cell vectors:
Pd: 0.5000 0.5000 0.3352
Pd: 0.5000 0.0000 0.1693
Pd: 0.0000 0.5000 0.1693
Au: 0.0000 0.0000 0.0000
Sc: 0.0000 0.0000 0.3317
Pd: 0.5000 0.5000 0.6648
Pd: 0.0000 0.5000 0.5000
Pd: 0.5000 0.0000 0.5000
Pd: 0.5000 0.5000 0.0000
Sc: 0.0000 0.0000 0.6683
Pd: 0.5000 0.0000 0.8307
Pd: 0.0000 0.5000 0.8307

As for the density of states at the Fermi level: 1.125 states/eV/atom. As for the formation energy: -0.58 eV per atom.

Density functional theory data (PBE) for a geometry-optimized NaCuAgSe structure.

Cell: 3.9105 3.9105 10.9043 Å, 90.00 90.00 90.00°
Sites, in units of the cell vectors:
Ag: 0.2500 0.7500 0.5000
Cu: 0.7500 0.2500 0.0000
Na: 0.7500 0.7500 0.2542
Se: 0.2500 0.2500 0.1431
Ag: 0.7500 0.2500 0.5000
Se: 0.7500 0.7500 0.8569
Cu: 0.2500 0.7500 0.0000
Na: 0.2500 0.2500 0.7458

As for the density of states at the Fermi level: 0.210 states/eV/atom. The value obtained for the formation energy without anion corrections is -1.25 eV per formula unit.

Density functional theory data (PBE) for a geometry-optimized Er5TmCu6 structure.

Cell: 4.8708 6.8141 7.6993 Å, 90.00 71.56 90.00°
Sites, in units of the cell vectors:
Cu: 0.4999 0.2493 0.0000
Er: 0.6665 0.0000 0.6670
Er: 0.3331 0.5000 0.3337
Cu: 0.8340 0.2494 0.3320
Cu: 0.5001 0.7507 0.0000
Cu: 0.1660 0.2494 0.6680
Cu: 0.8340 0.7506 0.3320
Er: 0.0000 0.5000 0.0000
Er: 0.3335 0.0000 0.3330
Cu: 0.1660 0.7506 0.6680
Tm: 0.0000 0.0000 0.0000
Er: 0.6669 0.5000 0.6663

As for the density of states at the Fermi level: 0.439 states/eV/atom. As for the formation energy: -0.28 eV per atom.

Density functional theory data (PBE) for a geometry-optimized Rb2BiPbBr8 structure.

Cell: 7.8040 7.2759 8.9864 Å, 90.02 89.98 93.41°
Sites, in units of the cell vectors:
Br: 0.1142 0.7682 0.7527
Br: 0.3214 0.2020 0.0004
Br: 0.8858 0.2318 0.2473
Pb: 0.0000 0.0000 0.5000
Br: 0.3253 0.1891 0.4996
Rb: 0.5001 0.5006 0.2481
Rb: 0.4999 0.4994 0.7519
Br: 0.6747 0.8109 0.5004
Br: 0.6786 0.7980 0.9996
Br: 0.8865 0.2322 0.7529
Bi: 0.0000 0.0000 0.0000
Br: 0.1135 0.7678 0.2471

As for the density of states at the Fermi level: 0.706 states/eV/atom. The value obtained for the formation energy without anion corrections is -11.90 eV per formula unit.

Density functional theory data (PBE) for a geometry-optimized Pr2S3 structure.

Cell: 8.6665 8.6665 14.3297 Å, 107.60 107.60 90.00°
Sites, in units of the cell vectors:
Pr: 0.1504 0.0477 0.5780
Pr: 0.0996 0.2197 0.9220
S: 0.4354 0.1849 0.0323
Pr: 0.6250 0.2551 0.7500
S: 0.4640 0.0715 0.2902
Pr: 0.8347 0.8347 0.6694
Pr: 0.4153 0.9153 0.8306
S: 0.8261 0.2187 0.2902
S: 0.1387 0.2427 0.1339
S: 0.7813 0.5360 0.7098
Pr: 0.1250 0.4949 0.7500
Pr: 0.8224 0.7023 0.9220
S: 0.4687 0.5761 0.7902
Pr: 0.5051 0.3750 0.2500
S: 0.7573 0.0048 0.8661
S: 0.1088 0.8613 0.8661
S: 0.4239 0.6785 0.2098
S: 0.8151 0.4031 0.9677
S: 0.0974 0.3469 0.5323
S: 0.1412 0.7452 0.6339
S: 0.7860 0.5313 0.2098
Pr: 0.0847 0.5847 0.1694
S: 0.6531 0.5651 0.4677
Pr: 0.7803 0.1776 0.0780
Pr: 0.4276 0.5303 0.5780
Pr: 0.7449 0.8750 0.2500
S: 0.3215 0.2140 0.7902
S: 0.4927 0.8887 0.6339
Pr: 0.9523 0.5724 0.4220
S: 0.5969 0.8474 0.0323
Pr: 0.4697 0.8496 0.4220
S: 0.9952 0.8912 0.1339
S: 0.1113 0.8588 0.3661
S: 0.4349 0.1854 0.5323
Pr: 0.1653 0.1653 0.3306
S: 0.9285 0.1739 0.7098
S: 0.1526 0.5646 0.9677
S: 0.8146 0.9026 0.4677
S: 0.2548 0.5073 0.3661
Pr: 0.2977 0.9004 0.0780

As for the density of states at the Fermi level: 0.000 states/eV/atom. The value obtained for the formation energy without anion corrections is -10.23 eV per formula unit.

Density functional theory data (PBE) for a geometry-optimized PtPbI6 structure.

Cell: 7.2673 7.2662 8.0058 Å, 62.99 62.97 59.96°
Sites, in units of the cell vectors:
Pb: 0.5000 0.5000 0.5000
Pt: 0.0000 0.0000 0.0000
I: 0.6001 0.2099 0.2281
I: 0.2095 0.9617 0.2281
I: 0.3999 0.7901 0.7719
I: 0.9618 0.6004 0.2280
I: 0.7905 0.0383 0.7719
I: 0.0382 0.3996 0.7720

The offset from the most stable computed form is 0.064 eV/atom. The value obtained for the formation energy without anion corrections is -1.86 eV per formula unit.

Density functional theory data (PBE) for a geometry-optimized Y3ScPt12 structure.

Cell: 4.1049 4.1049 16.3448 Å, 90.00 90.00 90.00°
Sites, in units of the cell vectors:
Y: 0.0000 0.0000 0.2468
Pt: 0.5000 0.0000 0.3731
Pt: 0.5000 0.5000 0.7541
Y: 0.0000 0.0000 0.5000
Pt: 0.5000 0.0000 0.8816
Pt: 0.0000 0.5000 0.8816
Pt: 0.5000 0.5000 0.2459
Pt: 0.0000 0.5000 0.6269
Pt: 0.0000 0.5000 0.1184
Pt: 0.5000 0.5000 0.0000
Pt: 0.5000 0.0000 0.6269
Sc: 0.0000 0.0000 0.0000
Y: 0.0000 0.0000 0.7532
Pt: 0.5000 0.0000 0.1184
Pt: 0.0000 0.5000 0.3731
Pt: 0.5000 0.5000 0.5000

As for the density of states at the Fermi level: 0.967 states/eV/atom. As for the formation energy: -1.01 eV per atom.

Please write out number 6 again, unchanged.
Density functional theory data (PBE) for a geometry-optimized Pr2S3 structure.

Cell: 8.6665 8.6665 14.3297 Å, 107.60 107.60 90.00°
Sites, in units of the cell vectors:
Pr: 0.1504 0.0477 0.5780
Pr: 0.0996 0.2197 0.9220
S: 0.4354 0.1849 0.0323
Pr: 0.6250 0.2551 0.7500
S: 0.4640 0.0715 0.2902
Pr: 0.8347 0.8347 0.6694
Pr: 0.4153 0.9153 0.8306
S: 0.8261 0.2187 0.2902
S: 0.1387 0.2427 0.1339
S: 0.7813 0.5360 0.7098
Pr: 0.1250 0.4949 0.7500
Pr: 0.8224 0.7023 0.9220
S: 0.4687 0.5761 0.7902
Pr: 0.5051 0.3750 0.2500
S: 0.7573 0.0048 0.8661
S: 0.1088 0.8613 0.8661
S: 0.4239 0.6785 0.2098
S: 0.8151 0.4031 0.9677
S: 0.0974 0.3469 0.5323
S: 0.1412 0.7452 0.6339
S: 0.7860 0.5313 0.2098
Pr: 0.0847 0.5847 0.1694
S: 0.6531 0.5651 0.4677
Pr: 0.7803 0.1776 0.0780
Pr: 0.4276 0.5303 0.5780
Pr: 0.7449 0.8750 0.2500
S: 0.3215 0.2140 0.7902
S: 0.4927 0.8887 0.6339
Pr: 0.9523 0.5724 0.4220
S: 0.5969 0.8474 0.0323
Pr: 0.4697 0.8496 0.4220
S: 0.9952 0.8912 0.1339
S: 0.1113 0.8588 0.3661
S: 0.4349 0.1854 0.5323
Pr: 0.1653 0.1653 0.3306
S: 0.9285 0.1739 0.7098
S: 0.1526 0.5646 0.9677
S: 0.8146 0.9026 0.4677
S: 0.2548 0.5073 0.3661
Pr: 0.2977 0.9004 0.0780

As for the density of states at the Fermi level: 0.000 states/eV/atom. The value obtained for the formation energy without anion corrections is -10.23 eV per formula unit.

What is the formula in the seventh record? PtPbI6